Entry 1:
Crystalline La3Tb6Pm2 at its relaxed geometry. Source: Alexandria, functional GGA-PBE.

The total magnetic moment comes out at 0.0 μB per cell. Its density of states at the Fermi level is 16.7 states/eV/f.u. The calculation puts the total energy at -100.69 eV/cell. For the formation energy, the calculation gives 0.156 eV/atom.

The structure belongs to space group C2/m (No. 12); the cell edges are 5.933, 11.609 and 11.130 Å and the angles 90.00°, 97.62° and 90.00°. Symmetry generates all atoms from La at (0.000, 0.000, 0.000), La at (0.000, 0.318, 0.000), Tb at (0.061, 0.156, 0.711), Tb at (0.079, 0.500, 0.767) and Pm at (0.000, 0.361, 0.500).

Entry 2:
Crystalline Sc5In2Ir2Pb at its relaxed geometry. Source: Alexandria, functional GGA-PBE.

The total magnetic moment comes out at 0.0 μB per cell. Its density of states at the Fermi level is 5.8 states/eV/f.u. The calculation puts the total energy at -128.90 eV/cell. For the formation energy, the calculation gives -0.588 eV/atom.

The structure belongs to space group P4/mbm (No. 127); the cell edges are 11.464, 11.464 and 3.428 Å and the angles 90.00°, 90.00° and 90.00°. Symmetry generates all atoms from Sc at (0.000, 0.500, 0.000), Sc at (0.079, 0.209, 0.000), In at (0.170, 0.670, 0.500), Ir at (0.129, 0.371, 0.500) and Pb at (0.000, 0.000, 0.500).

Entry 3:
Crystalline K3Cd4 at its relaxed geometry. Source: Alexandria, functional GGA-PBE.

The total magnetic moment comes out at 0.0 μB per cell. Its density of states at the Fermi level is 3.9 states/eV/f.u. The calculation puts the total energy at -14.67 eV/cell. For the formation energy, the calculation gives -0.055 eV/atom.

The structure belongs to space group Immm (No. 71); the cell edges are 4.727, 5.164 and 22.197 Å and the angles 90.00°, 90.00° and 90.00°. Symmetry generates all atoms from K at (0.000, 0.000, 0.000), K at (0.000, 0.500, 0.191), Cd at (0.000, 0.000, 0.433) and Cd at (0.000, 0.500, 0.365).

Entry 4:
Crystalline NaPaSeO6 at its relaxed geometry. Source: Alexandria, functional GGA-PBE.

The total magnetic moment comes out at 0.0 μB per cell. Its density of states at the Fermi level is 0.0 states/eV/f.u. The calculation puts the total energy at -121.23 eV/cell.

The structure belongs to space group P-31c (No. 163); the cell edges are 5.4829, 5.4829 and 9.8502 Å and the angles 90.00°, 90.00° and 120.00°. Symmetry generates all atoms from Na at (0.0000, 0.0000, 0.0000), Pa at (0.3333, 0.6667, 0.2500), Se at (0.3333, 0.6667, 0.7500) and O at (0.0510, 0.3977, 0.6450).

Entry 5:
Crystalline Ac3Nd3TlHg2 at its relaxed geometry. Source: Alexandria, functional GGA-PBE.

The total magnetic moment comes out at 0.0 μB per cell. Its density of states at the Fermi level is 12.4 states/eV/f.u. The calculation puts the total energy at -31.43 eV/cell. For the formation energy, the calculation gives -0.203 eV/atom.

The structure belongs to space group P-62m (No. 189); the cell edges are 9.3819, 9.3819 and 4.0493 Å and the angles 90.00°, 90.00° and 120.00°. Symmetry generates all atoms from Ac at (0.0000, 0.2866, 0.0000), Nd at (0.0000, 0.6103, 0.5000), Tl at (0.0000, 0.0000, 0.5000) and Hg at (0.3333, 0.6667, 0.0000).

Entry 6:
Crystalline Pm3SmDy5 at its relaxed geometry. Source: Alexandria, functional GGA-PBE.

The total magnetic moment comes out at 0.0 μB per cell. Its density of states at the Fermi level is 12.1 states/eV/f.u. The calculation puts the total energy at -156.95 eV/cell. For the formation energy, the calculation gives 0.305 eV/atom.

The structure belongs to space group C2/c (No. 15); the cell edges are 20.201, 6.134 and 11.521 Å and the angles 90.00°, 121.68° and 90.00°. Symmetry generates all atoms from Pm at (0.000, 0.000, 0.000), Pm at (0.182, 0.219, 0.037), Sm at (0.000, 0.089, 0.750), Dy at (0.000, 0.425, 0.250), Dy at (0.140, 0.317, 0.643) and Dy at (0.178, 0.204, 0.337).